## RbTmSe2 (PBE)

Data for a relaxed RbTmSe2 crystal.

## Properties
As for the space-group type: Fddd, No. 70. The raw total energy is -18.25 eV per formula unit. The crystal system is orthorhombic. For the calculated volume, the calculation gives 643 Å³/cell. As for the total magnetization: 0.001 μB/f.u.

Cell and atoms, written as CIF:
```
data_RbTmSe2
_chemical_formula_sum 'Rb4 Tm4 Se8'
_cell_length_a 14.3928
_cell_length_b 12.7518
_cell_length_c 8.2951
_cell_angle_alpha 83.41
_cell_angle_beta 61.66
_cell_angle_gamma 34.93
_symmetry_space_group_name_H-M 'P 1'
_symmetry_Int_Tables_number 1
loop_
_symmetry_equiv_pos_as_xyz
'x,y,z'
loop_
_atom_site_label
_atom_site_fract_x
_atom_site_fract_y
_atom_site_fract_z
_atom_site_occupancy
Se1 0.3446 0.0462 0.9478 1
Se2 0.9478 0.6614 0.3446 1
Se3 0.6614 0.9478 0.0462 1
Se4 0.5886 0.3022 0.2038 1
Se5 0.0462 0.3446 0.6614 1
Se6 0.9054 0.2038 0.3022 1
Se7 0.2038 0.9054 0.5886 1
Se8 0.3022 0.5886 0.9054 1
Rb1 0.5698 0.5698 0.9302 1
Rb2 0.6802 0.6802 0.3198 1
Rb3 0.3198 0.3198 0.6802 1
Rb4 0.9302 0.9302 0.5698 1
Tm1 0.7500 0.7500 0.7500 1
Tm2 0.0000 0.0000 0.0000 1
Tm3 0.5000 0.5000 0.5000 1
Tm4 0.2500 0.2500 0.2500 1
```

=====

## Rb2TmSe3 (PBE)

Data for a relaxed Rb2TmSe3 crystal.

## Properties
As for the space-group type: C2/m, No. 12. The raw total energy is -24.45 eV per formula unit. The crystal system is monoclinic. For the calculated volume, the calculation gives 442 Å³/cell. As for the total magnetization: 0.004 μB/f.u.

Cell and atoms, written as CIF:
```
data_Rb2TmSe3
_chemical_formula_sum 'Rb4 Tm2 Se6'
_cell_length_a 8.4885
_cell_length_b 8.4885
_cell_length_c 10.6426
_cell_angle_alpha 119.39
_cell_angle_beta 119.39
_cell_angle_gamma 42.72
_symmetry_space_group_name_H-M 'P 1'
_symmetry_Int_Tables_number 1
loop_
_symmetry_equiv_pos_as_xyz
'x,y,z'
loop_
_atom_site_label
_atom_site_fract_x
_atom_site_fract_y
_atom_site_fract_z
_atom_site_occupancy
Se1 0.1948 0.8052 0.5000 1
Se2 0.2629 0.2629 0.4066 1
Se3 0.7371 0.7371 0.5934 1
Se4 0.6795 0.6795 0.1173 1
Se5 0.8052 0.1948 0.5000 1
Se6 0.3205 0.3205 0.8827 1
Tm1 0.1929 0.1929 0.5908 1
Tm2 0.8071 0.8071 0.4092 1
Rb1 0.8231 0.8231 0.9626 1
Rb2 0.5203 0.5203 0.2393 1
Rb3 0.4797 0.4797 0.7607 1
Rb4 0.1769 0.1769 0.0374 1
```

=====

## RbYTmSe3 (PBE)

Data for a relaxed RbYTmSe3 crystal.

## Properties
As for the space-group type: C2/m, No. 12. The raw total energy is -32.24 eV per formula unit. As for the energy above the lowest structure with this stoichiometry: 0.0 kJ per mole of atoms. The crystal system is monoclinic. For the calculated volume, the calculation gives 345 Å³/cell. As for the total magnetization: 0.007 μB/f.u.

Cell and atoms, written as CIF:
```
data_RbYTmSe3
_chemical_formula_sum 'Rb2 Y2 Tm2 Se6'
_cell_length_a 9.1937
_cell_length_b 9.1937
_cell_length_c 9.4943
_cell_angle_alpha 102.47
_cell_angle_beta 102.47
_cell_angle_gamma 26.15
_symmetry_space_group_name_H-M 'P 1'
_symmetry_Int_Tables_number 1
loop_
_symmetry_equiv_pos_as_xyz
'x,y,z'
loop_
_atom_site_label
_atom_site_fract_x
_atom_site_fract_y
_atom_site_fract_z
_atom_site_occupancy
Se1 0.3420 0.3420 0.2254 1
Se2 0.3334 0.3334 0.6398 1
Se3 0.6666 0.6666 0.3602 1
Se4 0.6580 0.6580 0.7746 1
Se5 0.5000 0.5000 0.0000 1
Se6 0.0000 0.0000 0.5000 1
Rb1 0.8471 0.8471 0.9359 1
Rb2 0.1529 0.1529 0.0641 1
Y1 0.1680 0.1680 0.5720 1
Y2 0.8320 0.8320 0.4280 1
Tm1 0.5019 0.5019 0.2872 1
Tm2 0.4981 0.4981 0.7128 1
```